1.
DFT (PBE) results for a relaxed BaCoAu2S4 crystal.

```
BaCoAu2S4
1.0
-3.292 3.489 3.999
3.292 -3.489 3.999
3.292 3.489 -3.999
Au Ba Co S
2 1 1 4
direct
0.690 0.190 0.500
0.310 0.810 0.500
0.000 0.000 0.000
0.500 0.500 0.000
0.480 0.854 0.011
0.520 0.531 0.374
0.157 0.146 0.626
0.843 0.469 0.989
```

Summary:
SG: I222 (23)
Volume: 22.97 A^3/atom
E_tot: -36.41 eV/cell



2.
DFT (PBE) results for a relaxed SmMo crystal.

```
SmMo
1.0
-3.505 -2.919 -0.261
-4.249 1.451 0.844
-3.015 0.350 -3.415
Mo Sm
1 1
direct
0.000 0.000 0.000
0.250 0.250 0.250
```

Summary:
SG: F-43m (216)
Volume: 33.73 A^3/atom
E_tot: -10.87 eV/cell
Energy relative to the lowest polymorph listed for this composition: 2.96 eV/f.u.